DFT (GGA-PBEsol) results for a relaxed structure of ScNb3H.

Values from the calculation:
Its crystal system is cubic. The total energy is -8.371 eV per atom. As for the spin magnetization: 0.00 μB/f.u. As for the density of states at the Fermi level: 0.947 states/eV per atom.

a b c (Å): 4.2580 4.2580 4.2580
angles (deg): 90.00 90.00 90.00
Sites, in units of the cell vectors:
Nb (0.5000, 0.0000, 0.0000)
Nb (0.0000, 0.0000, 0.5000)
Nb (0.0000, 0.5000, 0.0000)
Sc (0.5000, 0.5000, 0.5000)
H (0.0000, 0.0000, 0.0000)